No. 1
KPuI3: relaxed, PBE-GGA.

a = 9.056 Å, b = 9.056 Å, c = 13.124 Å
α = 121.63°, β = 121.63°, γ = 29.07°
Positions (direct):
K  0.098  0.098  0.430
K  0.902  0.902  0.570
Pu  0.244  0.244  0.857
Pu  0.756  0.756  0.143
I  0.122  0.122  0.970
I  0.326  0.326  0.694
I  0.397  0.397  0.324
I  0.603  0.603  0.676
I  0.674  0.674  0.306
I  0.878  0.878  0.030

Results
**Volume**: 43.95 Å³ per atom
**E**: -26.0 eV/f.u.
**Formation energy from raw total energies**: -5.92 eV/f.u.
**M_tot**: 12.00 μB per cell

No. 2
AcTb6Sm2Tm: relaxed, PBE-GGA.

a = 8.958 Å, b = 8.958 Å, c = 9.604 Å
α = 92.86°, β = 92.86°, γ = 118.06°
Positions (direct):
Ac  0.025  0.975  0.750
Ac  0.975  0.025  0.250
Tb  0.016  0.561  0.685
Tb  0.133  0.748  0.057
Tb  0.252  0.867  0.443
Tb  0.288  0.505  0.884
Tb  0.439  0.984  0.815
Tb  0.495  0.712  0.616
Tb  0.505  0.288  0.384
Tb  0.561  0.016  0.185
Tb  0.712  0.495  0.116
Tb  0.748  0.133  0.557
Tb  0.867  0.252  0.943
Tb  0.984  0.439  0.315
Sm  0.201  0.317  0.547
Sm  0.317  0.201  0.047
Sm  0.683  0.799  0.953
Sm  0.799  0.683  0.453
Tm  0.411  0.589  0.250
Tm  0.589  0.411  0.750

Results
**Volume**: 33.85 Å³ per atom
**E**: -44.5 eV/f.u.
**Formation enthalpy at 0 K**: 126 meV/atom
**M_tot**: 0.00 μB per cell

No. 3
ScInBr2: relaxed, PBE-GGA.

a = 5.521 Å, b = 5.521 Å, c = 3.561 Å
α = 90.00°, β = 90.00°, γ = 104.22°
Positions (direct):
Sc  0.000  0.000  0.000
In  0.500  0.500  0.000
Br  0.000  0.500  0.500
Br  0.500  0.000  0.500

Results
**Volume**: 26.31 Å³ per atom
**ΔE to the lowest computed polymorph**: 0.543 eV/atom
**E**: -14.2 eV/f.u.
**Formation energy from raw total energies**: -1.76 eV/f.u.
**M_tot**: 0.00 μB per cell

No. 4
LaGaSnPb: relaxed, PBE-GGA.

a = 4.683 Å, b = 4.718 Å, c = 4.885 Å
α = 90.00°, β = 90.00°, γ = 90.00°
Positions (direct):
La  0.000  0.000  0.000
Ga  0.500  0.500  0.000
Sn  0.500  0.000  0.500
Pb  0.000  0.500  0.500

Results
**Volume**: 26.98 Å³ per atom
**E**: -17.7 eV/f.u.
**Formation enthalpy at 0 K**: -503 meV/atom
**M_tot**: 0.00 μB per cell

No. 5
Y6Zn3N: relaxed, PBE-GGA.

a = 6.584 Å, b = 7.625 Å, c = 11.148 Å
α = 90.00°, β = 119.58°, γ = 90.00°
Positions (direct):
Y  0.081  0.041  0.232
Y  0.081  0.459  0.732
Y  0.190  0.707  0.065
Y  0.190  0.793  0.565
Y  0.365  0.154  0.055
Y  0.365  0.346  0.555
Y  0.635  0.654  0.445
Y  0.635  0.846  0.945
Y  0.810  0.207  0.435
Y  0.810  0.293  0.935
Y  0.919  0.541  0.268
Y  0.919  0.959  0.768
Zn  0.321  0.118  0.753
Zn  0.321  0.382  0.253
Zn  0.500  0.000  0.500
Zn  0.500  0.500  0.000
Zn  0.679  0.618  0.747
Zn  0.679  0.882  0.247
N  0.000  0.000  0.000
N  0.000  0.500  0.500

Results
**Volume**: 24.33 Å³ per atom
**E**: -55.4 eV/f.u.
**Formation energy from raw total energies**: -4.50 eV/f.u.
**M_tot**: 2.04 μB per cell

No. 6
RbCr3Sb: relaxed, PBE-GGA.

a = 5.431 Å, b = 5.431 Å, c = 5.431 Å
α = 90.00°, β = 90.00°, γ = 90.00°
Positions (direct):
Rb  0.000  0.000  0.000
Cr  0.000  0.500  0.500
Cr  0.500  0.000  0.500
Cr  0.500  0.500  0.000
Sb  0.500  0.500  0.500

Results
**Volume**: 32.04 Å³ per atom
**ΔE to the lowest computed polymorph**: 0.000 eV/atom
**E**: -28.9 eV/f.u.
**Formation energy from raw total energies**: 5.11 eV/f.u.
**M_tot**: 14.15 μB per cell

No. 7
Ti3Se4O2: relaxed, PBE-GGA.

a = 3.227 Å, b = 3.227 Å, c = 19.603 Å
α = 90.00°, β = 90.00°, γ = 120.00°
Positions (direct):
Ti  0.000  0.000  0.000
Ti  0.000  0.000  0.325
Ti  0.667  0.333  0.696
Se  0.000  0.000  0.608
Se  0.000  0.000  0.783
Se  0.667  0.333  0.238
Se  0.667  0.333  0.413
O  0.667  0.333  0.056
O  0.667  0.333  0.943

Results
**Volume**: 19.65 Å³ per atom
**E**: -58.9 eV/f.u.
**Formation energy from raw total energies**: -11.33 eV/f.u.
**M_tot**: 0.10 μB per cell

No. 8
Ac3Cd2Au4: relaxed, PBE-GGA.

a = 6.456 Å, b = 6.456 Å, c = 9.455 Å
α = 113.07°, β = 113.07°, γ = 43.59°
Positions (direct):
Ac  0.000  0.000  0.000
Ac  0.356  0.356  0.309
Ac  0.644  0.644  0.691
Cd  0.348  0.348  0.680
Cd  0.652  0.652  0.320
Au  0.073  0.073  0.406
Au  0.284  0.284  0.939
Au  0.716  0.716  0.061
Au  0.927  0.927  0.594

Results
**Volume**: 27.36 Å³ per atom
**ΔE to the lowest computed polymorph**: 0.000 eV/atom
**E**: -33.5 eV/f.u.
**Formation enthalpy at 0 K**: -696 meV/atom
**M_tot**: 0.00 μB per cell

No. 9
Dy6Er2Tm3Mg: relaxed, PBE-GGA.

a = 6.074 Å, b = 6.074 Å, c = 11.558 Å
α = 95.06°, β = 95.06°, γ = 120.02°
Positions (direct):
Dy  0.084  0.417  0.751
Dy  0.249  0.249  0.250
Dy  0.417  0.084  0.751
Dy  0.583  0.916  0.249
Dy  0.751  0.751  0.750
Dy  0.916  0.583  0.249
Er  0.166  0.834  0.000
Er  0.834  0.166  0.000
Tm  0.000  0.000  0.500
Tm  0.334  0.666  0.500
Tm  0.666  0.334  0.500
Mg  0.500  0.500  0.000

Results
**Volume**: 30.28 Å³ per atom
**E**: -51.4 eV/f.u.
**Formation enthalpy at 0 K**: 30 meV/atom
**M_tot**: 0.00 μB per cell

No. 10
CsCeF6: relaxed, PBE-GGA.

a = 6.844 Å, b = 6.844 Å, c = 6.844 Å
α = 50.05°, β = 50.05°, γ = 50.05°
Positions (direct):
Cs  0.000  0.000  0.000
Ce  0.500  0.500  0.500
F  0.092  0.593  0.593
F  0.407  0.407  0.908
F  0.407  0.908  0.407
F  0.593  0.092  0.593
F  0.593  0.593  0.092
F  0.908  0.407  0.407

Results
**Volume**: 21.67 Å³ per atom
**ΔE to the lowest computed polymorph**: 0.086 eV/atom
**E**: -41.7 eV/f.u.
**Formation energy from raw total energies**: -23.67 eV/f.u.
**M_tot**: 1.09 μB per cell

No. 11
PuNpAsPt: relaxed, PBE-GGA.

a = 5.011 Å, b = 5.011 Å, c = 5.011 Å
α = 60.00°, β = 60.00°, γ = 60.00°
Positions (direct):
Pu  0.000  0.000  0.000
Np  0.500  0.500  0.500
As  0.750  0.750  0.750
Pt  0.250  0.250  0.250

Results
**Volume**: 22.24 Å³ per atom
**E**: -39.8 eV/f.u.
**Formation enthalpy at 0 K**: -461 meV/atom
**M_tot**: 1.46 μB per cell

No. 12
KFe2Au: relaxed, PBE-GGA.

a = 4.947 Å, b = 4.947 Å, c = 6.314 Å
α = 97.64°, β = 97.64°, γ = 36.50°
Positions (direct):
K  0.000  0.000  0.000
Fe  0.227  0.227  0.623
Fe  0.773  0.773  0.377
Au  0.500  0.500  0.500

Results
**Volume**: 22.75 Å³ per atom
**E**: -19.3 eV/f.u.
**Formation enthalpy at 0 K**: 510 meV/atom
**M_tot**: 5.83 μB per cell

No. 13
AcSeS6: relaxed, PBE-GGA.

a = 5.300 Å, b = 6.083 Å, c = 6.292 Å
α = 90.26°, β = 94.38°, γ = 114.46°
Positions (direct):
Ac  0.000  0.000  0.000
Se  0.500  0.500  0.500
S  0.139  0.474  0.740
S  0.327  0.041  0.494
S  0.351  0.707  0.990
S  0.649  0.293  0.010
S  0.673  0.959  0.506
S  0.861  0.526  0.260

Results
**Volume**: 22.99 Å³ per atom
**E**: -36.1 eV/f.u.
**Formation energy from raw total energies**: -3.70 eV/f.u.
**M_tot**: 0.00 μB per cell

No. 14
AcPdRh2Pb2: relaxed, PBE-GGA.

a = 5.132 Å, b = 5.132 Å, c = 5.763 Å
α = 90.00°, β = 90.00°, γ = 90.00°
Positions (direct):
Ac  0.000  0.000  0.000
Pd  0.000  0.000  0.500
Rh  0.500  0.500  0.229
Rh  0.500  0.500  0.771
Pb  0.000  0.500  0.500
Pb  0.500  0.000  0.500

Results
**Volume**: 25.30 Å³ per atom
**E**: -31.1 eV/f.u.
**Formation enthalpy at 0 K**: 51 meV/atom
**M_tot**: 0.00 μB per cell

No. 15
Te3AsC: relaxed, PBE-GGA.

a = 4.794 Å, b = 4.794 Å, c = 4.794 Å
α = 90.00°, β = 90.00°, γ = 90.00°
Positions (direct):
Te  0.000  0.000  0.500
Te  0.000  0.500  0.000
Te  0.500  0.000  0.000
As  0.500  0.500  0.500
C  0.000  0.000  0.000

Results
**Volume**: 22.03 Å³ per atom
**ΔE to the lowest computed polymorph**: 0.000 eV/atom
**E**: -18.0 eV/f.u.
**Formation energy from raw total energies**: 5.31 eV/f.u.
**M_tot**: 0.00 μB per cell

No. 16
Y3ZnIn2: relaxed, PBE-GGA.

a = 5.254 Å, b = 5.254 Å, c = 12.834 Å
α = 90.00°, β = 90.00°, γ = 120.00°
Positions (direct):
Y  0.000  0.000  0.245
Y  0.000  0.000  0.755
Y  0.333  0.667  0.411
Y  0.333  0.667  0.918
Y  0.667  0.333  0.082
Y  0.667  0.333  0.589
Zn  0.333  0.667  0.166
Zn  0.667  0.333  0.834
In  0.000  0.000  0.000
In  0.000  0.000  0.500
In  0.333  0.667  0.670
In  0.667  0.333  0.330

Results
**Volume**: 25.57 Å³ per atom
**E**: -28.9 eV/f.u.
**Formation enthalpy at 0 K**: -455 meV/atom
**M_tot**: 0.00 μB per cell

No. 17
Al2TlRu: relaxed, PBE-GGA.

a = 8.961 Å, b = 8.961 Å, c = 8.961 Å
α = 20.10°, β = 20.10°, γ = 20.10°
Positions (direct):
Al  0.233  0.233  0.233
Al  0.767  0.767  0.767
Tl  0.000  0.000  0.000
Ru  0.500  0.500  0.500

Results
**Volume**: 18.59 Å³ per atom
**ΔE to the lowest computed polymorph**: 0.182 eV/atom
**E**: -19.3 eV/f.u.
**Formation enthalpy at 0 K**: -56 meV/atom
**M_tot**: 0.00 μB per cell

No. 18
CaZrRe2P: relaxed, PBE-GGA.

a = 4.520 Å, b = 4.520 Å, c = 4.880 Å
α = 90.00°, β = 90.00°, γ = 90.00°
Positions (direct):
Ca  0.000  0.000  0.000
Zr  0.500  0.500  0.000
Re  0.000  0.500  0.500
Re  0.500  0.000  0.500
P  0.500  0.500  0.500

Results
**Volume**: 19.94 Å³ per atom
**E**: -39.2 eV/f.u.
**Formation enthalpy at 0 K**: 333 meV/atom
**M_tot**: 0.00 μB per cell

No. 19
Rb2BaTl2Bi2: relaxed, PBE-GGA.

a = 11.374 Å, b = 11.374 Å, c = 11.374 Å
α = 28.02°, β = 28.02°, γ = 28.02°
Positions (direct):
Rb  0.136  0.136  0.136
Rb  0.864  0.864  0.864
Ba  0.000  0.000  0.000
Tl  0.426  0.426  0.426
Tl  0.574  0.574  0.574
Bi  0.271  0.271  0.271
Bi  0.729  0.729  0.729

Results
**Volume**: 40.97 Å³ per atom
**E**: -18.8 eV/f.u.
**Formation enthalpy at 0 K**: -348 meV/atom
**M_tot**: 0.00 μB per cell

No. 20
Li2CaAl: relaxed, PBE-GGA.

a = 5.978 Å, b = 5.978 Å, c = 3.358 Å
α = 104.26°, β = 104.26°, γ = 117.22°
Positions (direct):
Li  0.000  0.500  0.000
Li  0.500  0.000  0.000
Ca  0.000  0.000  0.500
Al  0.500  0.500  0.500

Results
**Volume**: 23.51 Å³ per atom
**E**: -9.4 eV/f.u.
**Formation enthalpy at 0 K**: 45 meV/atom
**M_tot**: 0.00 μB per cell